(1)
Rb2HfSbBr6 | PBE-GGA | optimized geometry

Calculated values
Symmetry   I4/mmm, No. 139
N(E_F)   0.3373 states/eV/atom
Volume   41.71 A^3/atom
ΔE_f (raw)   -10.74 eV/f.u.

Cell lengths 7.9947, 7.9947, 8.6334 Å; angles 62.42, 62.42, 90.00 degrees
Sites, in units of the cell vectors:
Rb  0.7500  0.2500  0.5000
Br  0.7669  0.2331  0.0000
Sb  0.5000  0.5000  0.0000
Br  0.7971  0.7971  0.4059
Br  0.7669  0.7669  0.0000
Br  0.2029  0.2029  0.5941
Br  0.2331  0.7669  0.0000
Br  0.2331  0.2331  0.0000
Hf  0.0000  0.0000  0.0000
Rb  0.2500  0.7500  0.5000


(2)
La2CeTmP4 | PBE-GGA | optimized geometry

Calculated values
Formation energy from the elements   -1.55 eV per atom
Symmetry   P2/m, No. 10
N(E_F)   0.6917 states/eV/atom
Volume   25.15 A^3/atom

Cell lengths 4.1444, 7.1555, 7.1921 Å; angles 109.39, 90.00, 90.00 degrees
Sites, in units of the cell vectors:
P  0.5000  0.2428  0.2333
Tm  0.0000  0.0000  0.0000
Ce  0.5000  0.5000  0.0000
La  0.0000  0.5000  0.5000
P  0.0000  0.7475  0.2347
P  0.5000  0.7572  0.7667
La  0.5000  0.0000  0.5000
P  0.0000  0.2525  0.7653


(3)
AlTe2W | PBE-GGA | optimized geometry

Calculated values
Symmetry   C2/m, No. 12
N(E_F)   0.5636 states/eV/atom
Volume   24.09 A^3/atom
ΔE_f (raw)   1.98 eV/f.u.

Cell lengths 4.1112, 4.1112, 7.3285 Å; angles 76.41, 76.41, 53.76 degrees
Sites, in units of the cell vectors:
Al  0.7500  0.7500  0.7500
Te  0.9956  0.9956  0.0248
Te  0.5044  0.5044  0.4752
W  0.2500  0.2500  0.2500


(4)
PmErSn2 | PBE-GGA | optimized geometry

Calculated values
Formation energy from the elements   -0.63 eV per atom
Symmetry   P4/mmm, No. 123
N(E_F)   0.8923 states/eV/atom
Volume   27.02 A^3/atom

Cell lengths 3.4873, 3.4873, 8.8876 Å; angles 90.00, 90.00, 90.00 degrees
Sites, in units of the cell vectors:
Sn  0.0000  0.0000  0.2582
Er  0.5000  0.5000  0.5000
Pm  0.5000  0.5000  0.0000
Sn  0.0000  0.0000  0.7418


(5)
NpFeI | PBE-GGA | optimized geometry

Calculated values
Symmetry   C2/m, No. 12
N(E_F)   1.2494 states/eV/atom
Volume   25.05 A^3/atom
ΔE_f (raw)   1.06 eV/f.u.

Cell lengths 4.3425, 7.9290, 4.8263 Å; angles 70.88, 90.00, 105.89 degrees
Sites, in units of the cell vectors:
Np  0.9207  0.8415  0.1176
I  0.3264  0.6528  0.6421
I  0.6736  0.3472  0.3579
Fe  0.0823  0.1645  0.3081
Fe  0.9177  0.8355  0.6919
Np  0.0793  0.1585  0.8824


(6)
SrLiAlCu | PBE-GGA | optimized geometry

Calculated values
Formation energy from the elements   0.00 eV per atom
Symmetry   F-43m, No. 216
Energy above the most stable polymorph in this dataset   168 meV/atom
N(E_F)   1.1613 states/eV/atom
Volume   20.93 A^3/atom

Cell lengths 4.9104, 4.9104, 4.9104 Å; angles 60.00, 60.00, 60.00 degrees
Sites, in units of the cell vectors:
Li  0.7500  0.7500  0.7500
Cu  0.2500  0.2500  0.2500
Sr  0.0000  0.0000  0.0000
Al  0.5000  0.5000  0.5000


(7)
BeCu2GeBr | PBE-GGA | optimized geometry

Calculated values
Symmetry   P4/mmm, No. 123
N(E_F)   0.6058 states/eV/atom
Volume   23.20 A^3/atom
ΔE_f (raw)   4.37 eV/f.u.

Cell lengths 4.5252, 5.6652, 4.5252 Å; angles 90.00, 90.00, 90.00 degrees
Sites, in units of the cell vectors:
Ge  0.0000  0.0000  0.0000
Br  0.0000  0.5000  0.0000
Cu  0.0000  0.0000  0.5000
Cu  0.5000  0.0000  0.0000
Be  0.5000  0.5000  0.5000


(8)
La2HoTm3As6 | PBE-GGA | optimized geometry

Calculated values
Formation energy from the elements   -1.51 eV per atom
Symmetry   C2/m, No. 12
N(E_F)   0.1406 states/eV/atom
Volume   25.77 A^3/atom

Cell lengths 4.1807, 8.3511, 9.3333 Å; angles 102.86, 102.94, 90.00 degrees
Sites, in units of the cell vectors:
Tm  0.8330  0.1657  0.6659
As  0.3335  0.9288  0.6669
As  0.9956  0.2487  0.9912
Ho  0.5000  0.0000  0.0000
As  0.6629  0.5929  0.3257
Tm  0.5000  0.5000  0.0000
La  0.1651  0.3307  0.3302
La  0.8349  0.6693  0.6698
As  0.0044  0.7513  0.0088
Tm  0.1670  0.8343  0.3341
As  0.3371  0.4071  0.6743
As  0.6665  0.0712  0.3331


Question: volume of number 3 (AlTe2W)?
Answer: 24.09 A^3/atom